# 1
First-principles (PBE-GGA) data for an optimized crystal structure of AsPt2W, as listed in Alexandria.

Geometry as POSCAR:
```
AsPt2W
1.0
4.777 0.000 0.040
3.945 2.695 0.040
1.114 0.344 5.050
As Pt W
1 2 1
Direct
0.233 0.233 0.221 As
0.993 0.993 0.014 Pt
0.760 0.760 0.731 Pt
0.514 0.514 0.533 W
```

Crystal system: monoclinic
Size of the total moment, μB per formula unit: 0.000

---

# 2
First-principles (PBE-GGA) data for an optimized crystal structure of AsPt2W, as listed in Alexandria.

Geometry as POSCAR:
```
AsPt2W
1.0
-1.118 -0.989 3.778
-2.002 -1.812 -1.067
1.618 -5.862 -1.056
Pt As W
2 1 1
Direct
0.000 0.508 0.492 Pt
0.000 0.992 0.008 Pt
0.500 0.750 0.750 As
0.500 0.250 0.250 W
```

Crystal system: monoclinic
Size of the total moment, μB per formula unit: 0.000

---

# 3
First-principles (PBE-GGA) data for an optimized crystal structure of AsPt2W, as listed in Alexandria.

Geometry as POSCAR:
```
AsPt2W
1.0
-1.336 -1.993 1.630
2.501 0.029 2.084
-2.995 4.891 3.525
Pt W As
2 1 1
Direct
0.000 0.000 0.977 Pt
0.500 0.500 0.266 Pt
0.000 0.000 0.510 W
0.500 0.500 0.747 As
```

Crystal system: orthorhombic
Size of the total moment, μB per formula unit: 0.000

---

# 4
First-principles (PBE-GGA) data for an optimized crystal structure of AsPtW4, as listed in Alexandria.

Geometry as POSCAR:
```
AsPtW4
1.0
3.183 -3.712 -2.003
3.633 -2.301 3.069
-0.583 -5.046 1.455
W As Pt
4 1 1
Direct
0.877 0.374 0.374 W
0.374 0.877 0.374 W
0.374 0.374 0.374 W
0.374 0.374 0.877 W
0.750 0.750 0.750 As
0.000 0.000 0.000 Pt
```

Crystal system: cubic
Size of the total moment, μB per formula unit: 0.000

---

# 5
First-principles (PBE-GGA) data for an optimized crystal structure of AsPt2W, as listed in Alexandria.

Geometry as POSCAR:
```
AsPt2W
1.0
4.479 -0.025 0.000
0.007 4.479 0.000
-2.243 -2.227 3.177
Pt W As
2 1 1
Direct
0.001 0.999 0.000 Pt
0.250 0.750 0.500 Pt
0.490 0.510 0.000 W
0.760 0.240 0.500 As
```

Crystal system: monoclinic
Size of the total moment, μB per formula unit: 0.000

---

# 6
First-principles (PBE-GGA) data for an optimized crystal structure of AsPt2W, as listed in Alexandria.

Geometry as POSCAR:
```
AsPt2W
1.0
2.846 0.000 0.000
0.000 2.846 0.000
0.000 0.000 8.137
As W Pt
1 1 2
Direct
0.500 0.500 0.750 As
0.500 0.500 0.250 W
0.000 0.000 0.480 Pt
0.000 0.000 0.020 Pt
```

Crystal system: tetragonal
Size of the total moment, μB per formula unit: 0.000

---

# 7
First-principles (PBE-GGA) data for an optimized crystal structure of AsPt2W, as listed in Alexandria.

Geometry as POSCAR:
```
AsPt2W
1.0
5.258 -0.038 -0.108
2.540 4.604 0.108
-3.464 -3.025 2.550
As Pt W
1 2 1
Direct
0.250 0.750 0.500 As
0.020 0.020 0.000 Pt
0.480 0.480 0.000 Pt
0.750 0.250 0.500 W
```

Crystal system: orthorhombic
Size of the total moment, μB per formula unit: 0.000

---

# 8
First-principles (PBE-GGA) data for an optimized crystal structure of AsPtW3, as listed in Alexandria.

Geometry as POSCAR:
```
AsPtW3
1.0
-1.632 -1.277 4.331
0.891 -4.606 -1.022
4.427 0.456 1.803
W As Pt
3 1 1
Direct
0.500 0.000 0.000 W
0.000 0.500 0.000 W
0.000 0.000 0.500 W
0.500 0.500 0.500 As
0.000 0.000 0.000 Pt
```

Crystal system: cubic
Size of the total moment, μB per formula unit: 0.000
Energy relative to the lowest polymorph listed for this composition, meV/atom: 595

---

Number 1: E_tot -29.62 eV/cell, DFT formation energy 0.1 eV/f.u.. Number 2: E_tot -29.69 eV/cell, DFT formation energy 0.0 eV/f.u.. Number 3: E_tot -29.55 eV/cell, DFT formation energy 0.1 eV/f.u.. Number 4: E_tot -58.14 eV/cell, DFT formation energy 4.4 eV/f.u.. Number 5: E_tot -29.32 eV/cell, DFT formation energy 0.4 eV/f.u.. Number 6: E_tot -30.16 eV/cell, DFT formation energy -0.5 eV/f.u.. Number 7: E_tot -29.39 eV/cell, DFT formation energy 0.3 eV/f.u.. Number 8: E_tot -38.76 eV/cell, DFT formation energy 10.8 eV/f.u..